Material: K3PrNd2S6
Method: DFT, GGA-PBE
State: optimized geometry

The space group is C2/m (No. 12) and the conventional cell measures 7.289, 12.624 and 7.790 Å, with angles of 90.00, 108.17 and 90.00 degrees. Symmetry generates all atoms from K at (0.000, 0.000, 0.000), K at (0.000, 0.333, 0.000), Pr at (0.000, 0.500, 0.500), Nd at (0.000, 0.167, 0.500), S at (0.234, 0.000, 0.708) and S at (0.237, 0.332, 0.708).

The value obtained for the uncorrected energy is -129.092 eV per cell. For the calculated volume, the calculation gives 28.4 Å³/atom. The spin magnetization comes out at 0.0 μB/cell.